# 1
This record from the Alexandria database describes a relaxed structure of SiAsW2. The functional is PBEsol.

## Properties
The value obtained for the magnetization is 0.00 μB per cell. As for the energy relative to the elements, uncorrected: 0.114 eV/atom. Its crystal system is orthorhombic. The density of states at the Fermi level comes out at 0.698 states/eV per atom. Its energy above the most stable polymorph in this dataset is 0.254 eV/atom. The value obtained for the total energy is -9.50 eV per atom. Its symmetry is Pmm2.

Cell: 2.9569 4.3691 4.6163 Å, 90.00 90.00 90.00°
With the nearest neighbours (Å) after each atom.
Atoms (fractional coordinates):
As1 0.0000 0.5241 0.0000  6 W 2.62-2.65, 4 Si 2.88
Si1 0.5000 0.7290 0.5000  6 W 2.63-2.65, 4 As 2.88
W1 0.5000 0.0200 0.0000  4 As 2.62-2.65, 2 Si 2.64, 4 W 2.89
W2 0.0000 0.2269 0.5000  4 Si 2.63-2.65, 2 As 2.65, 4 W 2.89

***

# 2
This record from the Alexandria database describes a relaxed structure of SiAsW2. The functional is PBEsol.

## Properties
The value obtained for the magnetization is 0.00 μB per cell. As for the energy relative to the elements, uncorrected: 0.360 eV/atom. Its crystal system is tetragonal. The density of states at the Fermi level comes out at 0.782 states/eV per atom. Its energy above the most stable polymorph in this dataset is 0.500 eV/atom. The value obtained for the total energy is -9.26 eV per atom. Its symmetry is I-4m2.

Cell: 3.9811 3.9811 4.7194 Å, 114.95 114.95 90.00°
With the nearest neighbours (Å) after each atom.
Atoms (fractional coordinates):
As1 0.5000 0.5000 0.0000  8 W 2.75-2.82, 4 Si 2.75
Si1 0.2500 0.7500 0.5000  4 As 2.75, 8 W 2.75-2.82
W1 0.0000 0.0000 0.0000  4 W 2.75, 4 Si 2.75, 4 As 2.82
W2 0.7500 0.2500 0.5000  4 As 2.75, 4 W 2.75, 4 Si 2.82

***

# 3
This record from the Alexandria database describes a relaxed structure of Si2AsW. The functional is PBEsol.

## Properties
The value obtained for the magnetization is 0.00 μB per cell. As for the energy relative to the elements, uncorrected: 0.202 eV/atom. Its crystal system is tetragonal. The density of states at the Fermi level comes out at 0.704 states/eV per atom. The value obtained for the total energy is -7.40 eV per atom. Its symmetry is P4mm.

Cell: 3.1374 3.1374 6.3760 Å, 90.00 90.00 90.00°
With the nearest neighbours (Å) after each atom.
Atoms (fractional coordinates):
As1 0.5000 0.5000 0.7053  4 W 2.66, 1 Si 2.80
Si1 0.0000 0.0000 0.0516  4 Si 2.61, 1 W 2.71
Si2 0.5000 0.5000 0.2669  4 W 2.59, 4 Si 2.61, 1 As 2.80
W1 0.0000 0.0000 0.4762  5 Si 2.59-2.71, 4 As 2.66

***

# 4
This record from the Alexandria database describes a relaxed structure of SiAs2W. The functional is PBEsol.

## Properties
The value obtained for the magnetization is 0.00 μB per cell. As for the energy relative to the elements, uncorrected: 0.371 eV/atom. Its crystal system is orthorhombic. The density of states at the Fermi level comes out at 0.393 states/eV per atom. The value obtained for the total energy is -7.07 eV per atom. Its symmetry is Immm.

Cell: 3.4254 4.4853 4.9022 Å, 117.22 110.45 90.00°
With the nearest neighbours (Å) after each atom.
Atoms (fractional coordinates):
As1 0.7178 0.7178 0.4357  2 Si 2.45
As2 0.2822 0.2822 0.5643  2 Si 2.45
Si1 0.0000 0.5000 0.0000  4 As 2.45
W1 0.5000 0.0000 0.0000  4 Si 2.82, 8 As 2.84

***

# 5
This record from the Alexandria database describes a relaxed structure of SiAs2W. The functional is PBEsol.

## Properties
The value obtained for the magnetization is 0.00 μB per cell. As for the energy relative to the elements, uncorrected: 0.552 eV/atom. Its crystal system is orthorhombic. The density of states at the Fermi level comes out at 0.667 states/eV per atom. The value obtained for the total energy is -6.89 eV per atom. Its symmetry is Pmmm.

Cell: 3.1202 4.5225 4.4680 Å, 90.00 90.00 90.00°
With the nearest neighbours (Å) after each atom.
Atoms (fractional coordinates):
As1 0.0000 0.0000 0.0000  4 Si 2.72, 4 As 2.75
As2 0.5000 0.5000 0.0000  4 W 2.72, 4 As 2.75
Si1 0.5000 0.0000 0.5000  4 As 2.72, 4 W 2.75
W1 0.0000 0.5000 0.5000  4 As 2.72, 4 Si 2.75

***

# 6
This record from the Alexandria database describes a relaxed structure of SiAs2W. The functional is PBEsol.

## Properties
The value obtained for the magnetization is 0.00 μB per cell. As for the energy relative to the elements, uncorrected: 0.655 eV/atom. Its crystal system is tetragonal. The density of states at the Fermi level comes out at 0.720 states/eV per atom. The value obtained for the total energy is -6.79 eV per atom. Its symmetry is P4/mmm.

Cell: 3.6487 3.6487 4.9436 Å, 90.00 90.00 90.00°
With the nearest neighbours (Å) after each atom.
Atoms (fractional coordinates):
As1 0.0000 0.5000 0.0000  4 As 2.58
As2 0.5000 0.0000 0.0000  4 As 2.58
Si1 0.5000 0.5000 0.5000  4 W 2.58
W1 0.0000 0.0000 0.5000  4 Si 2.58

***

# 7
This record from the Alexandria database describes a relaxed structure of SiAs2W. The functional is PBEsol.

## Properties
The value obtained for the magnetization is 2.30 μB per cell. As for the energy relative to the elements, uncorrected: 0.644 eV/atom. Its crystal system is tetragonal. The density of states at the Fermi level comes out at 0.822 states/eV per atom. The value obtained for the total energy is -6.80 eV per atom. Its symmetry is I-42d.

Cell: 5.7334 5.7334 6.6725 Å, 115.44 115.44 90.00°
With the nearest neighbours (Å) after each atom.
Atoms (fractional coordinates):
As1 0.3827 0.8750 0.2500  2 Si 2.40, 2 W 2.45
As2 0.8673 0.3750 0.2500  2 Si 2.40, 2 W 2.45
As3 0.1250 0.1327 0.7500  2 Si 2.40, 2 W 2.45
As4 0.6250 0.6173 0.7500  2 Si 2.40, 2 W 2.45
Si1 0.7500 0.2500 0.5000  4 As 2.40
Si2 0.5000 0.5000 0.0000  4 As 2.40
W1 0.2500 0.7500 0.5000  4 As 2.45
W2 0.0000 0.0000 0.0000  4 As 2.45

***

# 8
This record from the Alexandria database describes a relaxed structure of SiAsW2. The functional is PBEsol.

## Properties
The value obtained for the magnetization is 0.00 μB per cell. As for the energy relative to the elements, uncorrected: 0.122 eV/atom. Its crystal system is tetragonal. The density of states at the Fermi level comes out at 0.999 states/eV per atom. Its energy above the most stable polymorph in this dataset is 0.262 eV/atom. The value obtained for the total energy is -9.50 eV per atom. Its symmetry is P4/mmm.

Cell: 3.0790 3.0790 6.1238 Å, 90.00 90.00 90.00°
With the nearest neighbours (Å) after each atom.
Atoms (fractional coordinates):
As1 0.5000 0.5000 0.0000  8 W 2.71
Si1 0.5000 0.5000 0.5000  8 W 2.61
W1 0.0000 0.0000 0.7364  4 Si 2.61, 4 As 2.71, 1 W 2.90
W2 0.0000 0.0000 0.2636  4 Si 2.61, 4 As 2.71, 1 W 2.90

***

# 9
This record from the Alexandria database describes a relaxed structure of Si2AsW. The functional is PBEsol.

## Properties
The value obtained for the magnetization is 0.00 μB per cell. As for the energy relative to the elements, uncorrected: 0.351 eV/atom. Its crystal system is orthorhombic. The density of states at the Fermi level comes out at 0.615 states/eV per atom. The value obtained for the total energy is -7.25 eV per atom. Its symmetry is Cmmm.

Cell: 2.6886 2.6886 8.9559 Å, 90.00 90.00 100.95°
With the nearest neighbours (Å) after each atom.
Atoms (fractional coordinates):
As1 0.5000 0.5000 0.0000  4 As 2.69
Si1 0.0000 0.0000 0.2804  4 W 2.61-2.86, 4 Si 2.69
Si2 0.0000 0.0000 0.7196  4 W 2.61-2.86, 4 Si 2.69
W1 0.5000 0.5000 0.5000  8 Si 2.61-2.86, 4 W 2.69

***

# 10
This record from the Alexandria database describes a relaxed structure of Y2SiAs. The functional is PBEsol.

## Properties
The value obtained for the magnetization is 0.00 μB per cell. As for the energy relative to the elements, uncorrected: -0.734 eV/atom. Its crystal system is tetragonal. The density of states at the Fermi level comes out at 0.440 states/eV per atom. Its energy above the most stable polymorph in this dataset is 0.082 eV/atom. The value obtained for the total energy is -6.86 eV per atom. Its symmetry is I-42d.

Cell: 6.2716 6.2716 6.2716 Å, 106.44 106.44 115.72°
With the nearest neighbours (Å) after each atom.
Atoms (fractional coordinates):
Y1 0.8772 0.8750 0.5022  2 As 2.77, 2 Si 2.79
Y2 0.3728 0.3750 0.4978  2 As 2.77, 2 Si 2.79
Y3 0.1250 0.6272 0.0022  2 As 2.77, 2 Si 2.79
Y4 0.6250 0.1228 0.9978  2 As 2.77, 2 Si 2.79
As1 0.0000 0.0000 0.0000  4 Y 2.77
As2 0.2500 0.7500 0.5000  4 Y 2.77
Si1 0.5000 0.5000 0.0000  4 Y 2.79
Si2 0.7500 0.2500 0.5000  4 Y 2.79

***

# 11
This record from the Alexandria database describes a relaxed structure of Y2SiAs. The functional is PBEsol.

## Properties
The value obtained for the magnetization is 0.00 μB per cell. As for the energy relative to the elements, uncorrected: -0.816 eV/atom. Its crystal system is orthorhombic. The density of states at the Fermi level comes out at 0.661 states/eV per atom. Its energy above the most stable polymorph in this dataset is 0.000 eV/atom. The value obtained for the total energy is -6.94 eV per atom. Its symmetry is Immm.

Cell: 4.3202 5.1323 5.1323 Å, 62.94 65.11 65.11°
With the nearest neighbours (Å) after each atom.
Atoms (fractional coordinates):
As1 0.5000 0.0000 0.0000  4 Y 2.86
Si1 0.0000 0.5000 0.5000  4 Y 2.89
Y1 0.2472 0.7528 0.7528  2 As 2.86, 2 Si 2.89
Y2 0.7528 0.2472 0.2472  2 As 2.86, 2 Si 2.89

***

# 12
This record from the Alexandria database describes a relaxed structure of Y3SiAs. The functional is PBEsol.

## Properties
The value obtained for the magnetization is 0.00 μB per cell. As for the energy relative to the elements, uncorrected: -0.335 eV/atom. Its crystal system is cubic. The density of states at the Fermi level comes out at 0.596 states/eV per atom. The value obtained for the total energy is -6.60 eV per atom. Its symmetry is Pm-3m.

Cell: 5.2222 5.2222 5.2222 Å, 90.00 90.00 90.00°
With the nearest neighbours (Å) after each atom.
Atoms (fractional coordinates):
Y1 0.0000 0.5000 0.0000  2 As 2.61
Y2 0.0000 0.0000 0.5000  2 As 2.61
Y3 0.5000 0.0000 0.0000  2 As 2.61
As1 0.0000 0.0000 0.0000  6 Y 2.61
Si1 0.5000 0.5000 0.5000  12 Y 3.69

***

# 13
This record from the Alexandria database describes a relaxed structure of Y2SiAs. The functional is PBEsol.

## Properties
The value obtained for the magnetization is 0.00 μB per cell. As for the energy relative to the elements, uncorrected: -0.767 eV/atom. Its crystal system is tetragonal. The density of states at the Fermi level comes out at 0.774 states/eV per atom. Its energy above the most stable polymorph in this dataset is 0.049 eV/atom. The value obtained for the total energy is -6.89 eV per atom. Its symmetry is I4/mmm.

Cell: 4.7168 5.0909 4.7168 Å, 62.40 90.00 117.60°
With the nearest neighbours (Å) after each atom.
Atoms (fractional coordinates):
As1 0.5000 0.0000 0.5000  8 Y 3.04, 4 Si 3.34
Si1 0.0000 0.0000 0.0000  8 Y 3.04, 4 As 3.34
Y1 0.2500 0.5000 0.2500  4 Si 3.04, 4 As 3.04, 4 Y 3.34
Y2 0.7500 0.5000 0.7500  4 As 3.04, 4 Si 3.04, 4 Y 3.34

***

# 14
This record from the Alexandria database describes a relaxed structure of ZnSiAs2. The functional is PBEsol.

## Properties
The value obtained for the magnetization is 0.00 μB per cell. As for the energy relative to the elements, uncorrected: 0.268 eV/atom. Its crystal system is trigonal. The density of states at the Fermi level comes out at 0.342 states/eV per atom. Its energy above the most stable polymorph in this dataset is 0.439 eV/atom. The value obtained for the total energy is -4.12 eV per atom. Its symmetry is R3m.

Cell: 3.2036 3.2036 8.8618 Å, 79.59 79.59 60.00°
With the nearest neighbours (Å) after each atom.
Atoms (fractional coordinates):
As1 0.9796 0.9796 0.0611  3 Zn 2.61
As2 0.7756 0.7756 0.6731  3 Si 2.42
Si1 0.5025 0.5025 0.4925  3 As 2.42, 3 Zn 2.65
Zn1 0.2422 0.2422 0.2733  3 As 2.61, 3 Si 2.65

***

# 15
This record from the Alexandria database describes a relaxed structure of ZnSiAs2. The functional is PBEsol.

## Properties
The value obtained for the magnetization is 0.00 μB per cell. As for the energy relative to the elements, uncorrected: -0.171 eV/atom. Its crystal system is tetragonal. Its energy above the most stable polymorph in this dataset is 0.000 eV/atom. The value obtained for the total energy is -4.56 eV per atom. Its symmetry is I-42d.

Cell: 5.5944 5.5944 6.7428 Å, 114.51 114.51 90.00°
With the nearest neighbours (Å) after each atom.
Atoms (fractional coordinates):
As1 0.3854 0.8750 0.2500  2 Si 2.37, 2 Zn 2.44
As2 0.8646 0.3750 0.2500  2 Si 2.37, 2 Zn 2.44
As3 0.1250 0.1354 0.7500  2 Si 2.37, 2 Zn 2.44
As4 0.6250 0.6146 0.7500  2 Si 2.37, 2 Zn 2.44
Si1 0.7500 0.2500 0.5000  4 As 2.37
Si2 0.5000 0.5000 0.0000  4 As 2.37
Zn1 0.2500 0.7500 0.5000  4 As 2.44
Zn2 0.0000 0.0000 0.0000  4 As 2.44